(a)
DFT (GGA-PBE) results for a relaxed MnAg3Ge crystal.

Computed properties:
The calculation puts the total magnetic moment at 4.4 μB per cell.

Cell lengths 4.9218, 4.9218, 4.9218 Å; angles 90.00, 90.00, 90.00 degrees
Fractional positions:
Mn  0.0000  0.0000  0.0000
Ag  0.0000  0.0000  0.5000
Ag  0.0000  0.5000  0.0000
Ag  0.5000  0.0000  0.0000
Ge  0.5000  0.5000  0.5000

=====

(b)
DFT (GGA-PBE) results for a relaxed MnAg3Ge crystal.

Computed properties:
The calculation puts the total magnetic moment at 4.8 μB per cell.

Cell lengths 4.8518, 4.8518, 4.8518 Å; angles 90.00, 90.00, 90.00 degrees
Fractional positions:
Mn  0.0000  0.0000  0.0000
Ag  0.0000  0.5000  0.5000
Ag  0.5000  0.0000  0.5000
Ag  0.5000  0.5000  0.0000
Ge  0.5000  0.5000  0.5000

=====

Which structure is the least stable? The one labeled (a).

=====

(a)
DFT (GGA-PBE) results for a relaxed MnAg2GeTe4 crystal.

Computed properties:
The calculation puts the total magnetic moment at 4.6 μB per cell.

Cell lengths 7.8200, 7.8200, 7.8200 Å; angles 132.71, 132.71, 69.11 degrees
Fractional positions:
Mn  0.0000  0.0000  0.0000
Ag  0.2500  0.7500  0.5000
Ag  0.7500  0.2500  0.5000
Ge  0.5000  0.5000  0.0000
Te  0.1323  0.1323  0.5044
Te  0.3721  0.8677  0.0000
Te  0.6279  0.6279  0.4956
Te  0.8677  0.3721  0.0000

=====

(b)
DFT (GGA-PBE) results for a relaxed MnAg2GeTe4 crystal.

Computed properties:
The calculation puts the total magnetic moment at 9.7 μB per cell.

Cell lengths 8.7984, 7.8084, 7.3809 Å; angles 90.00, 90.00, 90.00 degrees
Fractional positions:
Mn  0.0000  0.1547  0.0000
Mn  0.5000  0.8453  0.5000
Ag  0.2461  0.3227  0.5197
Ag  0.2539  0.6773  0.0197
Ag  0.7461  0.6773  0.0197
Ag  0.7539  0.3227  0.5197
Ge  0.0000  0.8358  0.5054
Ge  0.5000  0.1642  0.0054
Te  0.0000  0.1483  0.3681
Te  0.0000  0.8348  0.8658
Te  0.2466  0.6654  0.3961
Te  0.2534  0.3346  0.8961
Te  0.5000  0.1652  0.3658
Te  0.5000  0.8517  0.8681
Te  0.7466  0.3346  0.8961
Te  0.7534  0.6654  0.3961

=====

Which structure is the least stable? The one labeled (a).

=====

(a)
DFT (GGA-PBE) results for a relaxed AgGe2Mo crystal.

Computed properties:
The calculation puts the total magnetic moment at 0.6 μB per cell.

Cell lengths 4.5474, 4.5474, 4.5474 Å; angles 60.00, 60.00, 60.00 degrees
Fractional positions:
Ag  0.0000  0.0000  0.0000
Ge  0.2500  0.2500  0.2500
Ge  0.7500  0.7500  0.7500
Mo  0.5000  0.5000  0.5000

=====

(b)
DFT (GGA-PBE) results for a relaxed AgGe2Mo crystal.

Computed properties:
The calculation puts the total magnetic moment at 0.0 μB per cell.

Cell lengths 5.7927, 5.7927, 5.7927 Å; angles 104.81, 104.81, 119.26 degrees
Fractional positions:
Ag  0.0000  0.0000  0.0000
Ag  0.7500  0.2500  0.5000
Ge  0.1337  0.1250  0.5087
Ge  0.3750  0.8663  0.9913
Ge  0.6163  0.6250  0.4913
Ge  0.8750  0.3837  0.0087
Mo  0.2500  0.7500  0.5000
Mo  0.5000  0.5000  0.0000

=====

Which structure is the least stable? The one labeled (b).

=====

(a)
DFT (GGA-PBE) results for a relaxed AgGeMo3 crystal.

Computed properties:
The calculation puts the total magnetic moment at 0.0 μB per cell.

Cell lengths 4.6196, 4.6196, 4.6196 Å; angles 90.00, 90.00, 90.00 degrees
Fractional positions:
Ag  0.0000  0.0000  0.0000
Ge  0.5000  0.5000  0.5000
Mo  0.0000  0.5000  0.5000
Mo  0.5000  0.0000  0.5000
Mo  0.5000  0.5000  0.0000

=====

(b)
DFT (GGA-PBE) results for a relaxed AgGeMo3 crystal.

Computed properties:
The calculation puts the total magnetic moment at 1.1 μB per cell.

Cell lengths 4.8028, 4.8028, 4.8028 Å; angles 90.00, 90.00, 90.00 degrees
Fractional positions:
Ag  0.0000  0.0000  0.0000
Ge  0.5000  0.5000  0.5000
Mo  0.0000  0.0000  0.5000
Mo  0.0000  0.5000  0.0000
Mo  0.5000  0.0000  0.0000

=====

Which structure is the least stable? The one labeled (b).

=====

(a)
DFT (GGA-PBE) results for a relaxed AgGeS2N crystal.

Computed properties:
The calculation puts the total magnetic moment at 1.8 μB per cell.

Cell lengths 4.8998, 4.8998, 3.6566 Å; angles 90.00, 90.00, 90.00 degrees
Fractional positions:
Ag  0.0000  0.0000  0.0000
Ge  0.5000  0.5000  0.5000
S  0.0000  0.5000  0.5000
S  0.5000  0.0000  0.5000
N  0.5000  0.5000  0.0000

=====

(b)
DFT (GGA-PBE) results for a relaxed AgGeS2N crystal.

Computed properties:
The calculation puts the total magnetic moment at 1.9 μB per cell.

Cell lengths 4.9789, 4.9789, 3.9884 Å; angles 90.00, 90.00, 90.00 degrees
Fractional positions:
Ag  0.0000  0.0000  0.0000
Ge  0.5000  0.5000  0.5000
S  0.0000  0.5000  0.0000
S  0.5000  0.0000  0.0000
N  0.0000  0.0000  0.5000

=====

Which structure is the least stable? The one labeled (b).

=====

(a)
DFT (GGA-PBE) results for a relaxed AgGeSN2 crystal.

Computed properties:
The calculation puts the total magnetic moment at 0.8 μB per cell.

Cell lengths 3.6711, 3.6711, 5.8342 Å; angles 90.00, 90.00, 90.00 degrees
Fractional positions:
Ag  0.0000  0.0000  0.0000
Ge  0.5000  0.5000  0.5000
S  0.5000  0.5000  0.0000
N  0.0000  0.5000  0.5000
N  0.5000  0.0000  0.5000

=====

(b)
DFT (GGA-PBE) results for a relaxed AgGeSN2 crystal.

Computed properties:
The calculation puts the total magnetic moment at 3.2 μB per cell.

Cell lengths 4.0793, 4.0793, 5.3195 Å; angles 90.00, 90.00, 90.00 degrees
Fractional positions:
Ag  0.0000  0.0000  0.0000
Ge  0.5000  0.5000  0.5000
S  0.0000  0.0000  0.5000
N  0.0000  0.5000  0.0000
N  0.5000  0.0000  0.0000

=====

Which structure is the least stable? The one labeled (b).

=====

(a)
DFT (GGA-PBE) results for a relaxed Na2Ag2Ge crystal.

Computed properties:
The calculation puts the total magnetic moment at 0.0 μB per cell.

Cell lengths 8.6335, 8.6335, 2.9381 Å; angles 90.00, 90.00, 90.00 degrees
Fractional positions:
Na  0.1404  0.3596  0.0000
Na  0.3596  0.8596  0.0000
Na  0.6404  0.1404  0.0000
Na  0.8596  0.6404  0.0000
Ag  0.1578  0.6578  0.5000
Ag  0.3422  0.1578  0.5000
Ag  0.6578  0.8422  0.5000
Ag  0.8422  0.3422  0.5000
Ge  0.0000  0.0000  0.0000
Ge  0.5000  0.5000  0.0000

=====

(b)
DFT (GGA-PBE) results for a relaxed Na2Ag2Ge crystal.

Computed properties:
The calculation puts the total magnetic moment at 0.0 μB per cell.

Cell lengths 5.7434, 5.7434, 11.2825 Å; angles 115.15, 115.15, 46.39 degrees
Fractional positions:
Na  0.0757  0.0757  0.3820
Na  0.3387  0.3387  0.8312
Na  0.6613  0.6613  0.1688
Na  0.9243  0.9243  0.6180
Ag  0.1001  0.1001  0.9431
Ag  0.3722  0.3722  0.3856
Ag  0.6278  0.6278  0.6144
Ag  0.8999  0.8999  0.0569
Ge  0.3597  0.3597  0.1529
Ge  0.6403  0.6403  0.8471

=====

(c)
DFT (GGA-PBE) results for a relaxed Na2Ag2Ge crystal.

Computed properties:
The calculation puts the total magnetic moment at 0.0 μB per cell.

Cell lengths 6.8808, 6.8808, 4.8214 Å; angles 90.00, 90.00, 90.00 degrees
Fractional positions:
Na  0.1719  0.3281  0.0000
Na  0.3281  0.8281  0.0000
Na  0.6719  0.1719  0.0000
Na  0.8281  0.6719  0.0000
Ag  0.1451  0.6451  0.5000
Ag  0.3549  0.1451  0.5000
Ag  0.6451  0.8549  0.5000
Ag  0.8549  0.3549  0.5000
Ge  0.0000  0.0000  0.5000
Ge  0.5000  0.5000  0.5000

=====

Which structure is the least stable? The one labeled (a).

=====

(a)
DFT (GGA-PBE) results for a relaxed Na2Ag2Ge crystal.

Computed properties:
The calculation puts the total magnetic moment at 0.0 μB per cell.

Cell lengths 5.8598, 5.8598, 5.8598 Å; angles 135.81, 121.66, 76.00 degrees
Fractional positions:
Na  0.1959  0.1959  0.0000
Na  0.8041  0.8041  0.0000
Ag  0.2458  0.5000  0.7458
Ag  0.7542  0.5000  0.2542
Ge  0.5000  0.0000  0.5000

=====

(b)
DFT (GGA-PBE) results for a relaxed Na2Ag2Ge crystal.

Computed properties:
The calculation puts the total magnetic moment at 0.0 μB per cell.

Cell lengths 9.1676, 9.1676, 9.1676 Å; angles 156.28, 156.28, 33.79 degrees
Fractional positions:
Na  0.1010  0.1010  0.0000
Na  0.8990  0.8990  0.0000
Ag  0.2500  0.7500  0.5000
Ag  0.7500  0.2500  0.5000
Ge  0.5000  0.5000  0.0000

=====

Which structure is the least stable? The one labeled (b).

=====

(a)
DFT (GGA-PBE) results for a relaxed NaAgGe3 crystal.

Computed properties:
The calculation puts the total magnetic moment at 0.0 μB per cell.

Cell lengths 5.0224, 5.0224, 5.0224 Å; angles 90.00, 90.00, 90.00 degrees
Fractional positions:
Na  0.0000  0.0000  0.0000
Ag  0.5000  0.5000  0.5000
Ge  0.0000  0.0000  0.5000
Ge  0.0000  0.5000  0.0000
Ge  0.5000  0.0000  0.0000

=====

(b)
DFT (GGA-PBE) results for a relaxed NaAgGe3 crystal.

Computed properties:
The calculation puts the total magnetic moment at 0.0 μB per cell.

Cell lengths 5.0966, 5.0966, 5.0966 Å; angles 90.00, 90.00, 90.00 degrees
Fractional positions:
Na  0.0000  0.0000  0.0000
Ag  0.5000  0.5000  0.5000
Ge  0.0000  0.5000  0.5000
Ge  0.5000  0.0000  0.5000
Ge  0.5000  0.5000  0.0000

=====

Which structure is the least stable? The one labeled (a).

=====

(a)
DFT (GGA-PBE) results for a relaxed NaZnAgGe crystal.

Computed properties:
The calculation puts the total magnetic moment at 0.0 μB per cell.

Cell lengths 4.7188, 4.7188, 4.7188 Å; angles 60.00, 60.00, 60.00 degrees
Fractional positions:
Na  0.0000  0.0000  0.0000
Zn  0.2500  0.2500  0.2500
Ag  0.7500  0.7500  0.7500
Ge  0.5000  0.5000  0.5000

=====

(b)
DFT (GGA-PBE) results for a relaxed NaZnAgGe crystal.

Computed properties:
The calculation puts the total magnetic moment at 0.0 μB per cell.

Cell lengths 4.4406, 4.4406, 5.3167 Å; angles 114.65, 114.65, 60.09 degrees
Fractional positions:
Na  0.0000  0.0000  0.0000
Zn  0.2074  0.2074  0.6230
Ag  0.7777  0.7777  0.3333
Ge  0.5523  0.5523  0.6575

=====

Which structure is the least stable? The one labeled (a).

=====

(a)
DFT (GGA-PBE) results for a relaxed NbAgGe2 crystal.

Computed properties:
The calculation puts the total magnetic moment at 0.0 μB per cell.

Cell lengths 4.6214, 4.6214, 4.6214 Å; angles 60.00, 60.00, 60.00 degrees
Fractional positions:
Nb  0.0000  0.0000  0.0000
Ag  0.5000  0.5000  0.5000
Ge  0.2500  0.2500  0.2500
Ge  0.7500  0.7500  0.7500

=====

(b)
DFT (GGA-PBE) results for a relaxed NbAgGe2 crystal.

Computed properties:
The calculation puts the total magnetic moment at 0.0 μB per cell.

Cell lengths 5.8315, 5.8315, 5.8315 Å; angles 105.16, 105.16, 118.49 degrees
Fractional positions:
Nb  0.0000  0.0000  0.0000
Nb  0.7500  0.2500  0.5000
Ag  0.2500  0.7500  0.5000
Ag  0.5000  0.5000  0.0000
Ge  0.1349  0.6250  0.0099
Ge  0.3750  0.3849  0.5099
Ge  0.6151  0.1250  0.9901
Ge  0.8750  0.8651  0.4901

=====

Which structure is the least stable? The one labeled (b).

=====

(a)
DFT (GGA-PBE) results for a relaxed NbAg3Ge crystal.

Computed properties:
The calculation puts the total magnetic moment at 2.3 μB per cell.

Cell lengths 5.1673, 5.1673, 5.1673 Å; angles 90.00, 90.00, 90.00 degrees
Fractional positions:
Nb  0.0000  0.0000  0.0000
Ag  0.0000  0.0000  0.5000
Ag  0.0000  0.5000  0.0000
Ag  0.5000  0.0000  0.0000
Ge  0.5000  0.5000  0.5000

=====

(b)
DFT (GGA-PBE) results for a relaxed NbAg3Ge crystal.

Computed properties:
The calculation puts the total magnetic moment at 3.4 μB per cell.

Cell lengths 4.8188, 4.8188, 4.8188 Å; angles 90.00, 90.00, 90.00 degrees
Fractional positions:
Nb  0.0000  0.0000  0.0000
Ag  0.0000  0.5000  0.5000
Ag  0.5000  0.0000  0.5000
Ag  0.5000  0.5000  0.0000
Ge  0.5000  0.5000  0.5000

=====

Which structure is the least stable? The one labeled (a).